1.
Compound: GaTeSN2
Source: the Alexandria database
Functional: PBE
Structure: relaxed

Structure (CIF):
```
data_GaTeSN2
_chemical_formula_sum 'Ga1 Te1 S1 N2'
_cell_length_a 3.976
_cell_length_b 3.976
_cell_length_c 5.369
_cell_angle_alpha 90.00
_cell_angle_beta 90.00
_cell_angle_gamma 90.00
_space_group_name_H-M_alt 'P 4/m m m'
_space_group_IT_number 123
_space_group_name_Hall '-P 4 2'
loop_
_atom_site_label
_atom_site_fract_x
_atom_site_fract_y
_atom_site_fract_z
_atom_site_occupancy
Ga1 0.000 0.000 0.000 1
Te1 0.500 0.500 0.500 1
S1 0.500 0.500 0.000 1
N1 0.000 0.500 0.500 1
```

Values from the calculation:
calculated volume = 84.9 Å³/f.u.
total DFT energy (no corrections) = -20.961 eV for the cell shown
DOS(E_F) = 3.197 states/eV/f.u.
E_form (uncorrected) = 1.20 eV per atom
excess energy over the best structure of this formula in the dataset = 0.0 kJ/mol of atoms

---

2.
Compound: NaLu2Ti
Source: the Alexandria database
Functional: PBE
Structure: relaxed

Structure (CIF):
```
data_NaLu2Ti
_chemical_formula_sum 'Na3 Lu6 Ti3'
_cell_length_a 3.2848
_cell_length_b 3.2848
_cell_length_c 35.0859
_cell_angle_alpha 90.00
_cell_angle_beta 90.00
_cell_angle_gamma 120.00
_space_group_name_H-M_alt 'R -3 m'
_space_group_IT_number 166
_space_group_name_Hall '-R 3 2"'
loop_
_atom_site_label
_atom_site_fract_x
_atom_site_fract_y
_atom_site_fract_z
_atom_site_occupancy
Na1 0.0000 0.0000 0.0000 1
Lu1 0.0000 0.0000 0.0977 1
Ti1 0.0000 0.0000 0.5000 1
```

Values from the calculation:
ΔE_f = 6.044 kcal/mol of atoms
calculated volume = 109.3 Å³/f.u.
total DFT energy (no corrections) = -51.623 eV for the cell shown
DOS(E_F) = 4.209 states/eV/f.u.